First-principles (PBE) data for an optimized crystal structure of Ba3YV, as listed in Alexandria.

```
data_Ba3YV
_chemical_formula_sum 'Ba3 Y1 V1'
_space_group_name_H-M_alt 'P m -3 m'
_space_group_IT_number 221
_space_group_name_Hall '-P 4 2 3'
_cell_length_a 6.300
_cell_length_b 6.300
_cell_length_c 6.300
_cell_angle_alpha 90.00
_cell_angle_beta 90.00
_cell_angle_gamma 90.00
loop_
_atom_site_label
_atom_site_type_symbol
_atom_site_fract_x
_atom_site_fract_y
_atom_site_fract_z
Ba1 Ba 0.000 0.000 0.500
Y1 Y 0.500 0.500 0.500
V1 V 0.000 0.000 0.000
```

ΔE_f, eV/atom: 0.8116